Entry 1:
The following is a PBE calculation of a relaxed structure of LaMgRe2Ru, from Alexandria via LeMat-Bulk.

Unit cell a=4.800 b=4.800 c=4.800 alpha=90.00 beta=90.00 gamma=90.00
Element x y z (fractional)
La (0.000, 0.000, 0.000)
Mg (0.500, 0.500, 0.000)
Re (0.000, 0.500, 0.500)
Re (0.500, 0.000, 0.500)
Ru (0.500, 0.500, 0.500)

VASP energy = -36.59 eV per cell
ΔE_f = 0.821 eV per atom
space-group type = P4/mmm, No. 123
magnetic moment = 0.04 μB per cell


Entry 2:
The following is a PBE calculation of a relaxed structure of ZrMo4W, from Alexandria via LeMat-Bulk.

Unit cell a=5.285 b=5.285 c=5.285 alpha=60.00 beta=60.00 gamma=60.00
Element x y z (fractional)
Zr (0.000, 0.000, 0.000)
Mo (0.126, 0.625, 0.625)
Mo (0.625, 0.126, 0.625)
Mo (0.625, 0.625, 0.126)
Mo (0.625, 0.625, 0.625)
W (0.250, 0.250, 0.250)

VASP energy = -64.04 eV per cell
ΔE_f = 0.131 eV per atom
space-group type = F-43m, No. 216
magnetic moment = 0.00 μB per cell


Entry 3:
The following is a PBE calculation of a relaxed structure of Sr2NdReN4, from Alexandria via LeMat-Bulk.

Unit cell a=7.743 b=7.124 c=5.652 alpha=90.00 beta=90.00 gamma=90.00
Element x y z (fractional)
Sr (0.248, 0.156, 0.000)
Sr (0.252, 0.844, 0.500)
Sr (0.748, 0.844, 0.500)
Sr (0.752, 0.156, 0.000)
Nd (0.000, 0.653, 0.011)
Nd (0.500, 0.347, 0.511)
Re (0.000, 0.344, 0.544)
Re (0.500, 0.656, 0.044)
N (0.000, 0.350, 0.872)
N (0.000, 0.596, 0.443)
N (0.205, 0.218, 0.467)
N (0.295, 0.782, 0.967)
N (0.500, 0.404, 0.943)
N (0.500, 0.650, 0.372)
N (0.705, 0.782, 0.967)
N (0.795, 0.218, 0.467)

raw formation energy = -0.7266 eV/atom
VASP energy = -119.39 eV per cell
space-group type = Pmn2_1, No. 31
magnetic moment = 2.69 μB per cell


Entry 4:
The following is a PBE calculation of a relaxed structure of ZnOsSe2, from Alexandria via LeMat-Bulk.

Unit cell a=2.979 b=2.979 c=10.146 alpha=90.00 beta=90.00 gamma=121.65
Element x y z (fractional)
Zn (0.000, 0.000, 0.000)
Os (0.000, 0.000, 0.500)
Se (0.500, 0.500, 0.295)
Se (0.500, 0.500, 0.705)

raw formation energy = 0.5242 eV/atom
VASP energy = -17.38 eV per cell
space-group type = Cmmm, No. 65
magnetic moment = 0.00 μB per cell


Entry 5:
The following is a PBE calculation of a relaxed structure of Zr3IF, from Alexandria via LeMat-Bulk.

Unit cell a=4.629 b=4.629 c=4.629 alpha=90.00 beta=90.00 gamma=90.00
Element x y z (fractional)
Zr (0.000, 0.000, 0.500)
Zr (0.000, 0.500, 0.000)
Zr (0.500, 0.000, 0.000)
I (0.500, 0.500, 0.500)
F (0.000, 0.000, 0.000)

raw formation energy = -0.3108 eV/atom
VASP energy = -30.62 eV per cell
excess energy over the best structure of this formula in the dataset = 0.0 kJ/mol of atoms
space-group type = Pm-3m, No. 221
magnetic moment = 0.00 μB per cell


Entry 6:
The following is a PBE calculation of a relaxed structure of HoZn3Cl9, from Alexandria via LeMat-Bulk.

Unit cell a=9.886 b=9.886 c=12.756 alpha=123.73 beta=123.73 gamma=53.56
Element x y z (fractional)
Ho (0.227, 0.773, 0.500)
Ho (0.773, 0.227, 0.000)
Zn (0.019, 0.260, 0.827)
Zn (0.260, 0.019, 0.327)
Zn (0.282, 0.434, 0.665)
Zn (0.434, 0.282, 0.165)
Zn (0.661, 0.799, 0.212)
Zn (0.799, 0.661, 0.712)
Cl (0.084, 0.195, 0.194)
Cl (0.096, 0.926, 0.326)
Cl (0.171, 0.421, 0.021)
Cl (0.195, 0.084, 0.694)
Cl (0.300, 0.670, 0.686)
Cl (0.376, 0.432, 0.364)
Cl (0.421, 0.171, 0.521)
Cl (0.432, 0.376, 0.864)
Cl (0.467, 0.764, 0.230)
Cl (0.505, 0.984, 0.090)
Cl (0.527, 0.781, 0.561)
Cl (0.670, 0.300, 0.186)
Cl (0.764, 0.467, 0.730)
Cl (0.781, 0.527, 0.061)
Cl (0.839, 0.885, 0.915)
Cl (0.885, 0.839, 0.415)
Cl (0.926, 0.096, 0.826)
Cl (0.984, 0.505, 0.590)

raw formation energy = -1.4528 eV/atom
VASP energy = -87.81 eV per cell
space-group type = Cc, No. 9
magnetic moment = 0.00 μB per cell